Record 1
Material: NdIrO6
Method: DFT, PBE-GGA
State: relaxed

The total energy comes out at -52.5 eV for the cell shown. Its space group is No. 12. The density of states at the Fermi level comes out at 2.67 states/eV per cell.

Cell: 4.6124 4.6124 4.6516 Å, 82.49 82.49 97.65°
Atoms (fractional coordinates):
Nd  0.5000  0.5000  0.5000
Ir  0.0000  0.0000  0.0000
O  0.0873  0.7116  0.2851
O  0.7116  0.0873  0.2851
O  0.2884  0.9127  0.7149
O  0.9127  0.2884  0.7149
O  0.2863  0.2863  0.0911
O  0.7137  0.7137  0.9089

***

Record 2
Material: Si3PdO
Method: DFT, PBE-GGA
State: relaxed

Its space group is No. 221. The value obtained for the distance to the lowest polymorph of the same formula is 750 meV/atom. The density of states at the Fermi level comes out at 2.57 states/eV per cell.

Cell: 4.6253 4.6253 4.6253 Å, 90.00 90.00 90.00°
Atoms (fractional coordinates):
Si  0.0000  0.5000  0.0000
Si  0.0000  0.0000  0.5000
Si  0.5000  0.0000  0.0000
O  0.5000  0.5000  0.5000
Pd  0.0000  0.0000  0.0000

***

Record 3
Material: K2CaCeS4
Method: DFT, PBE-GGA
State: relaxed

The total energy comes out at -40.6 eV for the cell shown. Its space group is No. 10.

Cell: 4.1832 7.1297 7.6950 Å, 108.15 90.00 90.00°
Atoms (fractional coordinates):
K  0.5000  0.0000  0.5000
K  0.0000  0.5000  0.5000
Ca  0.5000  0.5000  0.0000
Ce  0.0000  0.0000  0.0000
S  0.5000  0.2234  0.2023
S  0.5000  0.7766  0.7977
S  0.0000  0.2510  0.7984
S  0.0000  0.7490  0.2016

***

Record 4
Material: Zn3In2S6
Method: DFT, PBE-GGA
State: relaxed

The total energy comes out at -40.9 eV for the cell shown. Its space group is No. 156. The density of states at the Fermi level comes out at 0.60 states/eV per cell.

Cell: 3.9112 3.9112 18.4560 Å, 90.00 90.00 120.00°
Atoms (fractional coordinates):
Zn  0.3333  0.6667  0.7992
Zn  0.6667  0.3333  0.6316
Zn  0.3333  0.6667  0.2230
In  0.0000  0.0000  0.4259
In  0.6667  0.3333  0.0391
S  0.6667  0.3333  0.8366
S  0.3333  0.6667  0.6652
S  0.6667  0.3333  0.1768
S  0.3333  0.6667  0.3461
S  0.3333  0.6667  0.9836
S  0.6667  0.3333  0.4975

***

Record 5
Material: CrAg2Te
Method: DFT, PBE-GGA
State: relaxed

The total energy comes out at -17.3 eV for the cell shown. Its space group is No. 44. The density of states at the Fermi level comes out at 1.98 states/eV per cell.

Cell: 5.2314 5.2314 5.2314 Å, 131.01 130.29 72.37°
Atoms (fractional coordinates):
Ag  0.0005  0.0005  0.0000
Ag  0.7480  0.2480  0.5000
Cr  0.4987  0.4987  0.0000
Te  0.2528  0.7528  0.5000

***

Record 6
Material: Hf6AlN
Method: DFT, PBE-GGA
State: relaxed

The total energy comes out at -75.9 eV for the cell shown. Its space group is No. 148. The density of states at the Fermi level comes out at 7.11 states/eV per cell.

Cell: 5.4628 5.4630 5.4630 Å, 79.81 100.19 79.80°
Atoms (fractional coordinates):
Hf  0.0856  0.3412  0.7673
Hf  0.7673  0.9144  0.6588
Hf  0.6588  0.2327  0.0857
Hf  0.2327  0.0856  0.3412
Hf  0.9144  0.6588  0.2327
Hf  0.3412  0.7673  0.9143
Al  0.5000  0.5000  0.5000
N  0.0000  0.0000  0.0000

***

Repeat the second record exactly.
Material: Si3PdO
Method: DFT, PBE-GGA
State: relaxed

Its space group is No. 221. The value obtained for the distance to the lowest polymorph of the same formula is 750 meV/atom. The density of states at the Fermi level comes out at 2.57 states/eV per cell.

Cell: 4.6253 4.6253 4.6253 Å, 90.00 90.00 90.00°
Atoms (fractional coordinates):
Si  0.0000  0.5000  0.0000
Si  0.0000  0.0000  0.5000
Si  0.5000  0.0000  0.0000
O  0.5000  0.5000  0.5000
Pd  0.0000  0.0000  0.0000